# CeIrF (GGA-PBE, relaxed)
# calculated density: 10195 kg/m3
# uncorrected formation energy: -1.885 eV per atom
# crystal system: orthorhombic
data_CeIrF
_chemical_formula_sum 'Ce4 Ir4 F4'
_cell_length_a 7.925
_cell_length_b 7.256
_cell_length_c 6.181
_cell_angle_alpha 71.78
_cell_angle_beta 60.42
_cell_angle_gamma 47.80
_symmetry_space_group_name_H-M 'P 1'
_symmetry_Int_Tables_number 1
_symmetry_space_group_name_Hall 'P 1'
loop_
_atom_site_label
_atom_site_type_symbol
_atom_site_fract_x
_atom_site_fract_y
_atom_site_fract_z
Ce1 Ce 0.091 0.659 0.091
Ce2 Ce 0.341 0.909 0.341
Ce3 Ce 0.659 0.091 0.659
Ce4 Ce 0.909 0.341 0.909
Ir1 Ir 0.266 0.266 0.484
Ir2 Ir 0.484 0.484 0.266
Ir3 Ir 0.516 0.516 0.734
Ir4 Ir 0.734 0.734 0.516
F1 F 0.010 0.010 0.240
F2 F 0.240 0.240 0.010
F3 F 0.760 0.760 0.990
F4 F 0.990 0.990 0.760

=====

# KCe3F10 (GGA-PBE, relaxed)
# calculated density: 4679 kg/m3
# uncorrected formation energy: -3.830 eV per atom
# crystal system: cubic
data_KCe3F10
_chemical_formula_sum 'K2 Ce6 F20'
_cell_length_a 8.671
_cell_length_b 8.671
_cell_length_c 8.671
_cell_angle_alpha 60.00
_cell_angle_beta 60.00
_cell_angle_gamma 60.00
_symmetry_space_group_name_H-M 'P 1'
_symmetry_Int_Tables_number 1
_symmetry_space_group_name_Hall 'P 1'
loop_
_atom_site_label
_atom_site_type_symbol
_atom_site_fract_x
_atom_site_fract_y
_atom_site_fract_z
K1 K 0.250 0.250 0.250
K2 K 0.750 0.750 0.750
Ce1 Ce 0.240 0.240 0.760
Ce2 Ce 0.240 0.760 0.240
Ce3 Ce 0.240 0.760 0.760
Ce4 Ce 0.760 0.240 0.240
Ce5 Ce 0.760 0.240 0.760
Ce6 Ce 0.760 0.760 0.240
F1 F 0.113 0.113 0.113
F2 F 0.113 0.113 0.661
F3 F 0.113 0.661 0.113
F4 F 0.169 0.500 0.500
F5 F 0.169 0.500 0.831
F6 F 0.169 0.831 0.500
F7 F 0.339 0.887 0.887
F8 F 0.500 0.169 0.500
F9 F 0.500 0.169 0.831
F10 F 0.500 0.500 0.169
F11 F 0.500 0.500 0.831
F12 F 0.500 0.831 0.169
F13 F 0.500 0.831 0.500
F14 F 0.661 0.113 0.113
F15 F 0.831 0.169 0.500
F16 F 0.831 0.500 0.169
F17 F 0.831 0.500 0.500
F18 F 0.887 0.339 0.887
F19 F 0.887 0.887 0.339
F20 F 0.887 0.887 0.887

=====

# K2CeF6 (GGA-PBE, relaxed)
# calculated density: 3060 kg/m3
# uncorrected formation energy: -3.379 eV per atom
# crystal system: monoclinic
data_K2CeF6
_chemical_formula_sum 'K4 Ce2 F12'
_cell_length_a 6.566
_cell_length_b 7.978
_cell_length_c 7.746
_cell_angle_alpha 90.00
_cell_angle_beta 117.29
_cell_angle_gamma 90.00
_symmetry_space_group_name_H-M 'P 1'
_symmetry_Int_Tables_number 1
_symmetry_space_group_name_Hall 'P 1'
loop_
_atom_site_label
_atom_site_type_symbol
_atom_site_fract_x
_atom_site_fract_y
_atom_site_fract_z
K1 K 0.167 0.028 0.313
K2 K 0.167 0.472 0.813
K3 K 0.833 0.528 0.187
K4 K 0.833 0.972 0.687
Ce1 Ce 0.500 0.000 0.000
Ce2 Ce 0.500 0.500 0.500
F1 F 0.202 0.154 0.948
F2 F 0.202 0.346 0.448
F3 F 0.248 0.699 0.408
F4 F 0.248 0.801 0.908
F5 F 0.437 0.027 0.701
F6 F 0.437 0.473 0.201
F7 F 0.563 0.527 0.799
F8 F 0.563 0.973 0.299
F9 F 0.752 0.199 0.092
F10 F 0.752 0.301 0.592
F11 F 0.798 0.654 0.552
F12 F 0.798 0.846 0.052

=====

# K2CeF6 (GGA-PBE, relaxed)
# calculated density: 2844 kg/m3
# uncorrected formation energy: -3.402 eV per atom
# crystal system: tetragonal
data_K2CeF6
_chemical_formula_sum 'K4 Ce2 F12'
_cell_length_a 5.733
_cell_length_b 5.733
_cell_length_c 11.806
_cell_angle_alpha 90.00
_cell_angle_beta 90.00
_cell_angle_gamma 90.00
_symmetry_space_group_name_H-M 'P 1'
_symmetry_Int_Tables_number 1
_symmetry_space_group_name_Hall 'P 1'
loop_
_atom_site_label
_atom_site_type_symbol
_atom_site_fract_x
_atom_site_fract_y
_atom_site_fract_z
K1 K 0.000 0.000 0.164
K2 K 0.000 0.000 0.836
K3 K 0.500 0.500 0.336
K4 K 0.500 0.500 0.664
Ce1 Ce 0.000 0.000 0.500
Ce2 Ce 0.500 0.500 0.000
F1 F 0.178 0.178 0.361
F2 F 0.178 0.178 0.639
F3 F 0.232 0.232 0.000
F4 F 0.268 0.732 0.500
F5 F 0.322 0.678 0.139
F6 F 0.322 0.678 0.861
F7 F 0.678 0.322 0.139
F8 F 0.678 0.322 0.861
F9 F 0.732 0.268 0.500
F10 F 0.768 0.768 0.000
F11 F 0.822 0.822 0.361
F12 F 0.822 0.822 0.639

=====

Q: Among the records above, which one has the lowest calculated density?
A: number 4

=====

Q: Which of these has the lowest calculated density?
A: number 4